First-principles (PBE) data for a geometry-optimized BeNbCuSb structure, as listed in the Open Quantum Materials Database.

Calculated volume: 256 Å³/cell
Uncorrected energy: -4.962 eV per atom
Polymorph energy (0 for the lowest one): 0.0 meV/atom

```
data_BeNbCuSb
_cell_length_a 6.350
_cell_length_b 6.350
_cell_length_c 6.350
_cell_angle_alpha 90.00
_cell_angle_beta 90.00
_cell_angle_gamma 90.00
_symmetry_space_group_name_H-M 'F -4 3 m'
_symmetry_Int_Tables_number 216
_symmetry_space_group_name_Hall 'F -4 2 3'
loop_
_atom_site_label
_atom_site_fract_x
_atom_site_fract_y
_atom_site_fract_z
Be1 0.000 0.000 0.000
Nb1 0.250 0.250 0.250
Cu1 0.250 0.250 0.750
Sb1 0.000 0.000 0.500
```

***

First-principles (PBE) data for a geometry-optimized SmTmZn2Ge2 structure, as listed in the Open Quantum Materials Database.

Calculated volume: 244 Å³/cell
Uncorrected energy: -4.162 eV per atom
Polymorph energy (0 for the lowest one): 0.0 meV/atom

```
data_SmTmZn2Ge2
_cell_length_a 4.2420
_cell_length_b 4.2420
_cell_length_c 15.6342
_cell_angle_alpha 90.00
_cell_angle_beta 90.00
_cell_angle_gamma 120.00
_symmetry_space_group_name_H-M 'P 63/m m c'
_symmetry_Int_Tables_number 194
_symmetry_space_group_name_Hall '-P 6c 2c'
loop_
_atom_site_label
_atom_site_fract_x
_atom_site_fract_y
_atom_site_fract_z
Sm1 0.0000 0.0000 0.0000
Tm1 0.0000 0.0000 0.2500
Zn1 0.3333 0.6667 0.1521
Ge1 0.3333 0.6667 0.6173
```

***

First-principles (PBE) data for a geometry-optimized PrTm2As3 structure, as listed in the Open Quantum Materials Database.

Calculated volume: 151 Å³/cell
Uncorrected energy: -6.102 eV per atom

```
data_PrTm2As3
_cell_length_a 4.1434
_cell_length_b 4.1434
_cell_length_c 10.1294
_cell_angle_alpha 90.00
_cell_angle_beta 90.00
_cell_angle_gamma 120.00
_symmetry_space_group_name_H-M 'P -3 m 1'
_symmetry_Int_Tables_number 164
_symmetry_space_group_name_Hall '-P 3 2"'
loop_
_atom_site_label
_atom_site_fract_x
_atom_site_fract_y
_atom_site_fract_z
Pr1 0.0000 0.0000 0.0000
Tm1 0.3333 0.6667 0.3395
As1 0.0000 0.0000 0.5000
As2 0.3333 0.6667 0.8199
```

***

First-principles (PBE) data for a geometry-optimized HoErSi2Mo2C structure, as listed in the Open Quantum Materials Database.

Calculated volume: 244 Å³/cell
Uncorrected energy: -7.871 eV per atom

```
data_HoErSi2Mo2C
_cell_length_a 11.127
_cell_length_b 3.792
_cell_length_c 7.109
_cell_angle_alpha 90.00
_cell_angle_beta 125.60
_cell_angle_gamma 90.00
_symmetry_space_group_name_H-M 'C 1 m 1'
_symmetry_Int_Tables_number 8
loop_
_symmetry_equiv_pos_as_xyz
'x,y,z'
'x,-y,z'
'x+1/2,y+1/2,z'
'x+1/2,-y+1/2,z'
loop_
_atom_site_label
_atom_site_fract_x
_atom_site_fract_y
_atom_site_fract_z
Ho1 0.000 0.000 0.000
Er1 0.149 0.000 0.590
Si1 0.206 0.500 0.958
Si2 0.444 0.000 0.633
Mo1 0.281 0.500 0.381
Mo2 0.369 0.000 0.211
C1 0.075 0.500 0.296
```

***

First-principles (PBE) data for a geometry-optimized Dy5HoBi2Os structure, as listed in the Open Quantum Materials Database.

Calculated volume: 505 Å³/cell
Uncorrected energy: -5.758 eV per atom

```
data_Dy5HoBi2Os
_cell_length_a 4.237
_cell_length_b 14.384
_cell_length_c 8.295
_cell_angle_alpha 90.00
_cell_angle_beta 90.00
_cell_angle_gamma 90.00
_symmetry_space_group_name_H-M 'A m m 2'
_symmetry_Int_Tables_number 38
loop_
_symmetry_equiv_pos_as_xyz
'x,y,z'
'-x,-y,z'
'-x,y,z'
'x,-y,z'
'x,y+1/2,z+1/2'
'-x,-y+1/2,z+1/2'
'-x,y+1/2,z+1/2'
'x,-y+1/2,z+1/2'
loop_
_atom_site_label
_atom_site_fract_x
_atom_site_fract_y
_atom_site_fract_z
Dy1 0.000 0.000 0.000
Dy2 0.000 0.194 0.582
Dy3 0.500 0.117 0.271
Ho1 0.500 0.000 0.621
Bi1 0.500 0.167 0.888
Os1 0.000 0.000 0.388
```

***

First-principles (PBE) data for a geometry-optimized PmSmSi structure, as listed in the Open Quantum Materials Database.

Calculated volume: 348 Å³/cell
Uncorrected energy: -5.415 eV per atom
Polymorph energy (0 for the lowest one): 0.0 meV/atom

```
data_PmSmSi
_cell_length_a 7.034
_cell_length_b 7.034
_cell_length_c 7.034
_cell_angle_alpha 90.00
_cell_angle_beta 90.00
_cell_angle_gamma 90.00
_symmetry_space_group_name_H-M 'F -4 3 m'
_symmetry_Int_Tables_number 216
_symmetry_space_group_name_Hall 'F -4 2 3'
loop_
_atom_site_label
_atom_site_fract_x
_atom_site_fract_y
_atom_site_fract_z
Pm1 0.000 0.000 0.000
Sm1 0.000 0.000 0.500
Si1 0.250 0.250 0.250
```